No. 1
Compound: LiZrCr2
Source: Alexandria
Functional: meta-GGA SCAN
Structure: single point on PBEsol structure

a = 4.9636 Å, b = 4.9636 Å, c = 4.9636 Å
α = 143.08°, β = 125.34°, γ = 67.80°
Sites, in units of the cell vectors:
Li 0.0000 0.0000 0.0000
Zr 0.2830 0.7830 0.5000
Cr 0.5487 0.5487 0.0000
Cr 0.7282 0.2282 0.5000

The calculation puts the total energy at -67.98 eV/cell. For the total magnetization, the calculation gives 0.0002 μB per atom. Its theoretical density is 5.7 g/cm³.

=====

No. 2
Compound: LiZr2Cr
Source: Alexandria
Functional: meta-GGA SCAN
Structure: single point on PBEsol structure

a = 5.5474 Å, b = 5.5474 Å, c = 5.5474 Å
α = 146.50°, β = 130.24°, γ = 61.32°
Sites, in units of the cell vectors:
Li 0.0000 0.0000 0.0000
Zr 0.2665 0.7665 0.5000
Zr 0.5407 0.5407 0.0000
Cr 0.7787 0.2787 0.5000

The calculation puts the total energy at -81.24 eV/cell. For the total magnetization, the calculation gives 0.6505 μB per atom. Its theoretical density is 5.6 g/cm³.